(1)
A plane-wave DFT calculation with PBE was carried out for a relaxed TmNpS3 crystal.

Cell: 6.9186 6.9186 6.9569 Å, 90.00 90.00 120.00°
Space group P-6c2 (No. 188)
One atom of each set of equivalent atoms:
Tm1 0.0000 0.0000 0.0000 (multiplicity 2)
Np1 0.3333 0.6667 0.0000 (multiplicity 2)
S1 0.0691 0.3284 0.2500 (multiplicity 6)

Properties
The calculation puts the energy relative to the elements, uncorrected at -1.61 eV per atom. The calculation puts the energy above the most stable polymorph in this dataset at 11.8 kJ per mole of atoms.

=====

(2)
A plane-wave DFT calculation with PBE was carried out for a relaxed RbLi2I2Br crystal.

Cell: 10.508 13.622 6.246 Å, 90.00 90.00 90.00°
Space group Cmcm (No. 63)
One atom of each set of equivalent atoms:
Rb1 0.000 0.193 0.250 (multiplicity 4)
Li1 0.152 0.500 0.000 (multiplicity 8)
I1 0.213 0.126 0.750 (multiplicity 8)
Br1 0.000 0.408 0.750 (multiplicity 4)

Properties
The calculation puts the energy relative to the elements, uncorrected at -1.39 eV per atom.

=====

(3)
A plane-wave DFT calculation with PBE was carried out for a relaxed LiFeNi crystal.

Cell: 4.0274 4.0274 2.4284 Å, 90.00 90.00 120.00°
Space group P3m1 (No. 156)
One atom of each set of equivalent atoms:
Li1 0.0000 0.0000 0.0000 (multiplicity 1)
Fe1 0.3333 0.6667 0.6659 (multiplicity 1)
Ni1 0.6667 0.3333 0.2883 (multiplicity 1)

Properties
The calculation puts the energy above the most stable polymorph in this dataset at 7.0 kJ per mole of atoms. The energy relative to the elements is 0.101 eV/atom.

=====

(4)
A plane-wave DFT calculation with PBE was carried out for a relaxed CrHg2Sb2 crystal.

Cell: 7.038 7.038 5.393 Å, 90.00 90.00 90.00°
Space group P4/mbm (No. 127)
One atom of each set of equivalent atoms:
Cr1 0.000 0.000 0.000 (multiplicity 2)
Hg1 0.183 0.317 0.500 (multiplicity 4)
Sb1 0.145 0.645 0.000 (multiplicity 4)

Properties
The calculation puts the energy relative to the elements, uncorrected at 0.27 eV per atom.